No. 1
SeCl: optimized geometry, PBE.

Cell and atoms, written as extended XYZ:
```
2
Lattice="3.1451 0.0000 0.0000 0.0000 3.1451 0.0000 0.0000 0.0000 4.9013" Properties=species:S:1:pos:R:3 pbc="T T T"
Se 0.0000 0.0000 0.0000
Cl 0.0000 0.0000 2.4507
```

The calculation puts the size of the total moment at 0.00 μB per atom.

---

No. 2
SeCl: optimized geometry, PBE.

Cell and atoms, written as extended XYZ:
```
4
Lattice="5.1622 0.0000 0.0000 1.9050 5.1361 0.0000 2.5806 -0.8987 6.2487" Properties=species:S:1:pos:R:3 pbc="T T T"
Se 0.0000 0.0000 0.0000
Se 3.2789 4.7661 1.7228
Cl 2.8388 1.3742 1.8135
Cl 5.4599 3.2991 4.4493
```

The calculation puts the size of the total moment at 0.00 μB per atom.

---

No. 3
SeCl: optimized geometry, PBE.

Cell and atoms, written as extended XYZ:
```
12
Lattice="12.4982 0.0000 0.0000 -6.2491 10.8238 0.0000 0.0000 0.0000 3.0390" Properties=species:S:1:pos:R:3 pbc="T T T"
Se -3.1886 7.6952 0.7597
Se 1.1791 4.2148 0.7597
Se 4.2397 1.0862 2.2792
Se 2.0094 9.7375 0.7597
Se 5.0700 6.6090 2.2792
Se 9.4377 3.1286 2.2792
Cl -0.8166 5.0499 0.7597
Cl -1.4674 9.0060 0.7597
Cl 3.9650 3.2322 2.2792
Cl 2.2841 7.5916 0.7597
Cl 7.7165 1.8177 2.2792
Cl 7.0657 5.7738 2.2792
```

The calculation puts the size of the total moment at 0.00 μB per atom.

---

No. 4
SeCl: optimized geometry, PBE.

Cell and atoms, written as extended XYZ:
```
16
Lattice="6.8660 0.0000 0.0000 0.0000 9.4420 0.0000 0.0000 0.0000 10.2714" Properties=species:S:1:pos:R:3 pbc="T T T"
Se 0.6197 1.0526 2.3010
Se 0.6728 8.3422 8.0748
Se 2.7602 1.0998 2.9391
Se 2.8133 8.3894 7.4367
Se 4.0528 3.6684 7.9704
Se 4.1058 5.8208 2.1966
Se 6.1932 3.6212 7.3323
Se 6.2463 5.7736 2.8347
Cl 0.2777 8.4659 1.2913
Cl 0.5222 2.9133 9.0979
Cl 2.9109 6.5287 3.9622
Cl 3.1553 0.9761 6.4270
Cl 3.7108 5.6971 8.9801
Cl 3.9552 1.8077 1.1735
Cl 6.3439 7.6344 6.3092
Cl 6.5883 3.7449 3.8444
```

The calculation puts the size of the total moment at 0.00 μB per atom.

---

Short version: energy relative to the elements, uncorrected = 113.7, -191.7, 127.1, -195.3 meV per atom, in the order given.